(1)
Material: ScTeCl
Method: DFT, PBE
State: relaxed

Summary:
ΔE_f (raw): -1.57 eV per atom
Crystal system: triclinic

Cell: 3.949 6.790 7.973 Å, 68.40 75.92 90.00°
Space group P-1 (No. 2)
Unique sites:
Sc: 0.246 0.257 0.008
Te: 0.374 0.687 0.748
Cl: 0.161 0.838 0.181

(2)
Material: Sc2TeCl
Method: DFT, PBE
State: relaxed

Summary:
ΔE_f (raw): -0.92 eV per atom
DOS at the Fermi energy: 4.83 states/eV per cell
Crystal system: tetragonal
Energy relative to the lowest polymorph listed for this composition: 221 meV per atom

Cell: 4.907 4.907 3.541 Å, 90.00 90.00 90.00°
Space group P4/mmm (No. 123)
Unique sites:
Sc: 0.000 0.500 0.000
Te: 0.000 0.000 0.500
Cl: 0.500 0.500 0.500

(3)
Material: ScTe2Cl2
Method: DFT, PBE
State: relaxed

Summary:
ΔE_f (raw): -0.49 eV per atom
DOS at the Fermi energy: 5.59 states/eV per cell
Crystal system: tetragonal
Energy relative to the lowest polymorph listed for this composition: 392 meV per atom

Cell: 3.974 3.974 22.588 Å, 90.00 90.00 90.00°
Space group I4/mmm (No. 139)
Unique sites:
Sc: 0.000 0.000 0.000
Te: 0.000 0.500 0.250
Cl: 0.000 0.000 0.433

(4)
Material: Sc2TeCl2
Method: DFT, PBE
State: relaxed

Summary:
ΔE_f (raw): -1.28 eV per atom
DOS at the Fermi energy: 3.90 states/eV per cell
Crystal system: tetragonal

Cell: 4.255 4.255 12.540 Å, 90.00 90.00 90.00°
Space group I4/mmm (No. 139)
Unique sites:
Sc: 0.000 0.000 0.120
Te: 0.000 0.000 0.500
Cl: 0.000 0.500 0.250

One value per record, in order, for magnetic moment: 0.000 0.069 0.201 0.000 μB per atom.